<1>
First-principles (GGA-PBE) data for TlP2SCl after structural relaxation, as listed in Alexandria.

Cell lengths 4.4758, 4.4758, 7.3967 Å; angles 90.00, 90.00, 90.00 degrees
With the nearest neighbours (Å) after each atom.
Element x y z (fractional)
Tl 0.0000 0.0000 0.0000  4 Cl 3.16
P 0.0000 0.5000 0.5000  2 S 2.24
P 0.5000 0.0000 0.5000  2 S 2.24
S 0.5000 0.5000 0.5000  4 P 2.24
Cl 0.5000 0.5000 0.0000  4 Tl 3.16

## Properties
Space-group type ... No. 123
Density ... 3.74 g/cm3
DOS(E_F) ... 2.43 states/eV/cell
Calculated volume ... 148.2 Å³/f.u.
Total magnetization ... 0.0 μB/f.u.

---

<2>
First-principles (GGA-PBE) data for TlP2SCl after structural relaxation, as listed in Alexandria.

Cell lengths 5.3604, 5.3604, 5.0612 Å; angles 90.00, 90.00, 90.00 degrees
With the nearest neighbours (Å) after each atom.
Element x y z (fractional)
Tl 0.0000 0.0000 0.0000  2 S 2.53, 4 P 2.68
P 0.0000 0.5000 0.0000  2 Tl 2.68
P 0.5000 0.0000 0.0000  2 Tl 2.68
S 0.0000 0.0000 0.5000  2 Tl 2.53
Cl 0.5000 0.5000 0.5000  8 P 3.69, 4 S 3.79

## Properties
Space-group type ... No. 123
Density ... 3.81 g/cm3
DOS(E_F) ... 5.06 states/eV/cell
Calculated volume ... 145.4 Å³/f.u.
Total magnetization ... 2.2 μB/f.u.

---

Best to worst by energy: <1>, <2>.